[1]
First-principles (GGA-PBE) data for an optimized crystal structure of Sr2MgAg10, as listed in Alexandria via LeMat-Bulk.

The structure in extended XYZ format:
```
26
Lattice="6.123 0.000 0.000 0.000 6.245 0.000 0.000 0.000 18.223" Properties=species:S:1:pos:R:3 pbc="T T T"
Ag 4.420 1.684 1.361
Ag 0.000 3.263 11.939
Ag 1.703 1.439 10.473
Ag 6.123 5.751 5.514
Ag 1.702 1.684 1.361
Ag 0.000 0.494 12.709
Ag 6.123 0.775 7.974
Ag 6.123 2.982 6.284
Ag 0.000 0.140 15.396
Ag 6.123 2.629 3.598
Ag 1.702 4.807 7.750
Ag 4.420 4.561 16.862
Ag 0.000 5.471 10.250
Ag 0.000 3.617 14.626
Ag 0.000 2.348 17.085
Ag 6.123 6.105 2.828
Ag 1.703 4.561 16.862
Ag 4.420 1.439 10.473
Ag 6.123 3.897 1.138
Ag 4.420 4.807 7.751
Mg 0.000 3.123 9.112
Mg 0.000 0.000 0.000
Sr 3.062 1.445 16.240
Sr 3.061 4.801 1.984
Sr 3.062 4.567 11.096
Sr 3.061 1.678 7.128
```

As for the crystal system: orthorhombic. The energy of formation is 2.1 kJ/mol of atoms. As for the space group: Pbam (55).

---

[2]
First-principles (GGA-PBE) data for an optimized crystal structure of Th2Zn7, as listed in Alexandria via LeMat-Bulk.

The structure in extended XYZ format:
```
18
Lattice="-4.929 0.406 -2.431 -1.713 -3.956 -3.433 -7.613 -7.438 7.949" Properties=species:S:1:pos:R:3 pbc="T T T"
Th -5.176 -4.615 3.479
Th -7.477 -4.517 -4.334
Th -9.079 -6.374 -1.394
Th -6.779 -6.472 6.419
Zn -8.321 -5.175 3.516
Zn -5.323 -3.404 -2.268
Zn -7.566 -3.599 -0.923
Zn -6.689 -7.389 3.008
Zn -5.064 -3.805 0.311
Zn -3.321 -1.775 -2.932
Zn -2.465 0.203 -1.215
Zn -5.934 -5.813 -1.431
Zn -3.087 -2.195 -0.353
Zn -8.932 -7.585 4.353
Zn -0.857 -1.978 -1.716
Zn -11.168 -8.794 2.439
Zn -7.128 -5.494 1.043
Zn -9.191 -7.183 1.774
```

As for the crystal system: trigonal. The energy of formation is -22.1 kJ/mol of atoms. As for the space group: R-3m (166).

---

[3]
First-principles (GGA-PBE) data for an optimized crystal structure of TmSc2Ag2, as listed in Alexandria via LeMat-Bulk.

The structure in extended XYZ format:
```
10
Lattice="-1.636 -2.692 3.463 -1.675 -3.288 -3.347 9.282 -4.540 0.856" Properties=species:S:1:pos:R:3 pbc="T T T"
Tm 5.289 -6.415 2.258
Tm 0.683 -4.104 -1.286
Ag 8.235 -6.315 0.563
Ag -2.263 -4.205 0.408
Ag 1.785 -4.437 2.140
Ag 4.186 -6.082 -1.168
Sc 6.439 -7.460 -1.175
Sc 3.845 -3.780 0.461
Sc 2.126 -6.740 0.511
Sc -0.468 -3.060 2.147
```

As for the crystal system: monoclinic. The energy of formation is -7.5 kJ/mol of atoms. As for the space group: P2_1/m (11).

---

no.,calculated total energy (eV per atom)
1,-2.553
2,-2.868
3,-4.645